# BaMnBrCl2

Crystalline BaMnBrCl2 at its relaxed geometry (PBE-GGA, Alexandria via LeMat-Bulk).

Values from the calculation:
Size of the total moment (μB/f.u.): 4.0
SG: P4/mmm, No. 123
DFT total energy (eV per atom): -4.5008

abc: 4.8085 6.7833 4.8085
angles: 90.00 90.00 90.00
With the nearest neighbours (Å) after each atom.
Sites, in units of the cell vectors:
Br: 0.5000 0.5000 0.5000  4 Ba 3.40
Mn: 0.0000 0.0000 0.0000  4 Cl 2.40
Cl: 0.5000 0.0000 0.0000  2 Mn 2.40
Ba: 0.0000 0.5000 0.0000  2 Mn 3.39, 4 Br 3.40
Cl: 0.0000 0.0000 0.5000  2 Mn 2.40